1.
A plane-wave DFT calculation with PBE was carried out for a relaxed Y4ScAs crystal.

abc: 6.336 6.336 6.336
angles: 60.00 60.00 60.00
Site moments in Bohr magnetons follow the coordinates.
Fractional coordinates of all 6 atoms:
1 Y 0.374 0.374 0.374  0.14
2 Y 0.374 0.878 0.374  0.14
3 Y 0.374 0.374 0.878  0.14
4 Y 0.878 0.374 0.374  0.14
5 Sc 0.000 0.000 0.000  0.41
6 As 0.750 0.750 0.750  -0.01

Calculated values
* energy of formation: 355.2 meV per atom

2.
A plane-wave DFT calculation with PBE was carried out for a relaxed YSc3As4 crystal.

abc: 3.949 6.831 6.831
angles: 70.51 90.00 90.00
Fractional coordinates of all 8 atoms:
1 Y 0.500 0.500 0.000
2 As 0.000 0.239 0.261
3 As 0.000 0.761 0.739
4 As 0.500 0.755 0.255
5 As 0.500 0.245 0.745
6 Sc 0.500 0.000 0.500
7 Sc 0.000 0.500 0.500
8 Sc 0.000 0.000 0.000

Calculated values
* energy of formation: -1404.8 meV per atom

3.
A plane-wave DFT calculation with PBE was carried out for a relaxed Y2ScAs crystal.

abc: 6.283 6.283 4.965
angles: 66.71 66.71 35.04
Fractional coordinates of all 4 atoms:
1 Y 0.047 0.047 0.953
2 Y 0.453 0.453 0.547
3 As 0.750 0.750 0.750
4 Sc 0.250 0.250 0.250

Calculated values
* energy of formation: -481.6 meV per atom

4.
A plane-wave DFT calculation with PBE was carried out for a relaxed Y2ScAs crystal.

abc: 3.636 3.636 7.676
angles: 90.00 90.00 90.00
Site moments in Bohr magnetons follow the coordinates.
Fractional coordinates of all 4 atoms:
1 Y 0.500 0.500 0.295  -0.24
2 Y 0.000 0.000 0.975  0.01
3 Sc 0.500 0.500 0.692  0.30
4 As 0.000 0.000 0.538  -0.01

Calculated values
* energy of formation: -567.0 meV per atom

5.
A plane-wave DFT calculation with PBE was carried out for a relaxed Y2ZrScAs4 crystal.

abc: 3.990 6.904 6.922
angles: 109.35 90.00 90.00
Fractional coordinates of all 8 atoms:
1 As 0.000 0.254 0.765
2 As 0.500 0.755 0.766
3 As 0.000 0.746 0.235
4 As 0.500 0.245 0.234
5 Y 0.500 0.000 0.500
6 Y 0.000 0.500 0.500
7 Zr 0.500 0.500 0.000
8 Sc 0.000 0.000 0.000

Calculated values
* energy of formation: -1405.1 meV per atom

6.
A plane-wave DFT calculation with PBE was carried out for a relaxed ScZnAs crystal.

abc: 4.436 4.436 4.436
angles: 60.00 60.00 60.00
Fractional coordinates of all 3 atoms:
1 Zn 0.500 0.500 0.500
2 As 0.750 0.750 0.750
3 Sc 0.000 0.000 0.000

Calculated values
* energy of formation: -312.0 meV per atom

7.
A plane-wave DFT calculation with PBE was carried out for a relaxed Sc2ZnAs2 crystal.

abc: 7.456 7.456 3.571
angles: 90.00 90.00 90.00
Fractional coordinates of all 10 atoms:
1 Zn 0.000 0.000 0.000
2 Zn 0.500 0.500 0.000
3 As 0.158 0.658 0.500
4 As 0.658 0.842 0.500
5 As 0.842 0.342 0.500
6 As 0.342 0.158 0.500
7 Sc 0.648 0.148 0.000
8 Sc 0.852 0.648 0.000
9 Sc 0.352 0.852 0.000
10 Sc 0.148 0.352 0.000

Calculated values
* energy of formation: -764.9 meV per atom

8.
A plane-wave DFT calculation with PBE was carried out for a relaxed ScZn2As2 crystal.

abc: 4.779 4.779 5.408
angles: 63.78 63.78 90.00
Fractional coordinates of all 5 atoms:
1 Sc 0.000 0.000 0.000
2 As 0.750 0.250 0.500
3 As 0.250 0.750 0.500
4 Zn 0.642 0.642 0.717
5 Zn 0.358 0.358 0.283

Calculated values
* energy of formation: -182.1 meV per atom

9.
A plane-wave DFT calculation with PBE was carried out for a relaxed Sc2ZnAs2 crystal.

abc: 7.205 7.205 3.643
angles: 90.00 90.00 90.00
Fractional coordinates of all 10 atoms:
1 Sc 0.655 0.845 0.500
2 Sc 0.345 0.155 0.500
3 Sc 0.155 0.655 0.500
4 Sc 0.845 0.345 0.500
5 Zn 0.000 0.000 0.000
6 Zn 0.500 0.500 0.000
7 As 0.847 0.653 0.000
8 As 0.653 0.153 0.000
9 As 0.153 0.347 0.000
10 As 0.347 0.847 0.000

Calculated values
* energy of formation: -865.2 meV per atom

10.
A plane-wave DFT calculation with PBE was carried out for a relaxed ScZnAs crystal.

abc: 5.743 5.472 3.424
angles: 76.61 67.95 35.44
Fractional coordinates of all 3 atoms:
1 Sc 0.340 0.340 0.660
2 As 0.005 0.005 0.995
3 Zn 0.655 0.655 0.345

Calculated values
* energy of formation: -435.8 meV per atom

11.
A plane-wave DFT calculation with PBE was carried out for a relaxed ScZn2As2 crystal.

abc: 7.196 7.196 3.603
angles: 90.00 90.00 90.00
Fractional coordinates of all 10 atoms:
1 As 0.836 0.664 0.000
2 As 0.336 0.836 0.000
3 As 0.164 0.336 0.000
4 As 0.664 0.164 0.000
5 Sc 0.500 0.500 0.000
6 Sc 0.000 0.000 0.000
7 Zn 0.861 0.361 0.500
8 Zn 0.361 0.139 0.500
9 Zn 0.639 0.861 0.500
10 Zn 0.139 0.639 0.500

Calculated values
* energy of formation: -263.7 meV per atom

12.
A plane-wave DFT calculation with PBE was carried out for a relaxed ScZn2As2 crystal.

abc: 3.722 3.722 7.198
angles: 75.02 75.02 90.00
Fractional coordinates of all 5 atoms:
1 Zn 0.750 0.250 0.500
2 Zn 0.250 0.750 0.500
3 As 0.603 0.603 0.793
4 As 0.397 0.397 0.207
5 Sc 0.000 0.000 0.000

Calculated values
* energy of formation: -320.9 meV per atom

13.
A plane-wave DFT calculation with PBE was carried out for a relaxed ScZnAs crystal.

abc: 4.048 4.048 3.946
angles: 90.00 90.00 120.00
Fractional coordinates of all 3 atoms:
1 Zn 0.333 0.667 0.721
2 Sc 0.667 0.333 0.346
3 As 0.000 0.000 0.932

Calculated values
* energy of formation: -570.6 meV per atom

14.
A plane-wave DFT calculation with PBE was carried out for a relaxed ZrSc2As crystal.

abc: 4.274 3.691 10.749
angles: 90.00 90.00 90.00
Fractional coordinates of all 8 atoms:
1 As 0.000 0.000 0.204
2 As 0.000 0.500 0.704
3 Sc 0.500 0.000 0.778
4 Sc 0.500 0.000 0.053
5 Sc 0.500 0.500 0.278
6 Sc 0.500 0.500 0.553
7 Zr 0.000 0.000 0.475
8 Zr 0.000 0.500 0.975

Calculated values
* energy of formation: -549.4 meV per atom

15.
A plane-wave DFT calculation with PBE was carried out for a relaxed ZrSc2As crystal.

abc: 3.588 3.588 6.526
angles: 90.00 90.00 90.00
Site moments in Bohr magnetons follow the coordinates.
Fractional coordinates of all 4 atoms:
1 Sc 0.000 0.000 0.969  0.35
2 Sc 0.500 0.500 0.259  0.21
3 Zr 0.000 0.000 0.527  -0.01
4 As 0.500 0.500 0.745  -0.01

Calculated values
* energy of formation: -526.9 meV per atom

16.
A plane-wave DFT calculation with PBE was carried out for a relaxed ZrSc2As crystal.

abc: 8.074 8.074 6.357
angles: 50.58 50.58 90.00
Fractional coordinates of all 8 atoms:
1 Sc 0.180 0.625 0.250
2 Sc 0.875 0.820 0.750
3 Sc 0.570 0.125 0.250
4 Sc 0.375 0.430 0.750
5 Zr 0.750 0.250 0.500
6 Zr 0.000 0.000 0.000
7 As 0.250 0.750 0.500
8 As 0.500 0.500 0.000

Calculated values
* energy of formation: -264.6 meV per atom

17.
A plane-wave DFT calculation with PBE was carried out for a relaxed ZrScAs2 crystal.

abc: 4.953 4.953 3.358
angles: 79.42 79.42 94.61
Fractional coordinates of all 4 atoms:
1 Zr 0.000 0.500 0.500
2 Sc 0.500 0.000 0.500
3 As 0.500 0.500 0.000
4 As 0.000 0.000 0.000

Calculated values
* energy of formation: -899.7 meV per atom

18.
A plane-wave DFT calculation with PBE was carried out for a relaxed Zr3ScAs4 crystal.

abc: 6.701 6.720 7.730
angles: 90.00 90.00 109.39
Fractional coordinates of all 16 atoms:
1 As 0.497 0.249 0.372
2 As 0.499 0.753 0.124
3 As 0.501 0.247 0.876
4 As 0.997 0.249 0.628
5 As 0.001 0.247 0.124
6 As 0.503 0.751 0.628
7 As 0.999 0.753 0.876
8 As 0.003 0.751 0.372
9 Sc 0.750 0.000 0.876
10 Sc 0.250 0.000 0.124
11 Zr 0.750 0.000 0.377
12 Zr 0.750 0.500 0.127
13 Zr 0.750 0.500 0.623
14 Zr 0.250 0.500 0.873
15 Zr 0.250 0.500 0.377
16 Zr 0.250 0.000 0.623

Calculated values
* energy of formation: -1169.5 meV per atom

19.
A plane-wave DFT calculation with PBE was carried out for a relaxed Zr2ScAs crystal.

abc: 8.736 8.736 8.736
angles: 23.47 23.47 23.47
Site moments in Bohr magnetons follow the coordinates.
Fractional coordinates of all 4 atoms:
1 As 0.250 0.250 0.250  0.00
2 Sc 0.750 0.750 0.750  0.18
3 Zr 0.516 0.516 0.516  0.07
4 Zr 0.984 0.984 0.984  0.07

Calculated values
* energy of formation: -395.5 meV per atom

20.
A plane-wave DFT calculation with PBE was carried out for a relaxed ZrSc2As crystal.

abc: 4.850 4.850 4.850
angles: 60.00 60.00 60.00
Site moments in Bohr magnetons follow the coordinates.
Fractional coordinates of all 4 atoms:
1 Sc 0.250 0.250 0.250  0.06
2 Sc 0.000 0.000 0.000  0.42
3 As 0.500 0.500 0.500  -0.02
4 Zr 0.750 0.750 0.750  0.21

Calculated values
* energy of formation: -187.5 meV per atom